# 1
## LiLa2Ag (PBE-GGA)

Data for crystalline LiLa2Ag at its relaxed geometry.

The energy above the most stable polymorph in this dataset is 142 meV per atom.

The structure belongs to space group R-3m (No. 166, hexagonal axes); the cell edges are 3.6474, 3.6474 and 31.4433 Å and the angles 90.00°, 90.00° and 120.00°. Symmetry generates all atoms from Li at (0.0000, 0.0000, 0.0000), La at (0.0000, 0.0000, 0.2444) and Ag at (0.0000, 0.0000, 0.5000).



# 2
## LaTb2Th (PBE-GGA)

Data for crystalline LaTb2Th at its relaxed geometry.

The energy above the most stable polymorph in this dataset is 118 meV per atom.

The structure belongs to space group Fm-3m (No. 225); the cell edges are 8.113, 8.113 and 8.113 Å and the angles 90.00°, 90.00° and 90.00°. Symmetry generates all atoms from La at (0.000, 0.000, 0.000), Tb at (0.250, 0.250, 0.250) and Th at (0.000, 0.000, 0.500).



# 3
## ZnCoIr2 (PBE-GGA)

Data for crystalline ZnCoIr2 at its relaxed geometry.

The structure belongs to space group C2/m (No. 12); the cell edges are 5.361, 8.676 and 2.706 Å and the angles 90.00°, 117.69° and 90.00°. Symmetry generates all atoms from Zn at (0.000, 0.000, 0.000), Co at (0.000, 0.500, 0.000) and Ir at (0.250, 0.250, 0.500).



# 4
## NaLaAg2 (PBE-GGA)

Data for crystalline NaLaAg2 at its relaxed geometry.

The structure belongs to space group I-42d (No. 122); the cell edges are 4.922, 4.922 and 19.186 Å and the angles 90.00°, 90.00° and 90.00°. Symmetry generates all atoms from Na at (0.000, 0.000, 0.000), La at (0.000, 0.000, 0.500) and Ag at (0.138, 0.250, 0.125).



| no. | formation energy (meV per atom) | electronic total energy (eV per atom) |
| --- | --- | --- |
| 1 | 62 | -3.593 |
| 2 | 134 | -5.268 |
| 3 | 115 | -6.411 |
| 4 | 281 | -2.706 |